# Mn2NbFe3P6O24 (PBE with a Hubbard U, relaxed)
data_Mn2NbFe3P6O24
_chemical_formula_sum 'Mn6 Nb3 Fe9 P18 O72'
_cell_length_a 8.6861
_cell_length_b 8.6861
_cell_length_c 21.2277
_cell_angle_alpha 90.00
_cell_angle_beta 90.00
_cell_angle_gamma 120.00
_symmetry_space_group_name_H-M 'R 3'
_symmetry_Int_Tables_number 146
_symmetry_space_group_name_Hall 'R 3'
loop_
_atom_site_label
_atom_site_fract_x
_atom_site_fract_y
_atom_site_fract_z
Mn1 0.0000 0.0000 0.0000
Mn2 0.0000 0.0000 0.4967
Nb1 0.0000 0.0000 0.8518
Fe1 0.0000 0.0000 0.1424
Fe2 0.0000 0.0000 0.3514
Fe3 0.0000 0.0000 0.6400
P1 0.0052 0.7120 0.2460
P2 0.0363 0.3681 0.4101
O1 0.0066 0.1924 0.8035
O2 0.0114 0.8293 0.9168
O3 0.0239 0.1861 0.4202
O4 0.1378 0.6688 0.9732
O5 0.1387 0.4686 0.3520
O6 0.1423 0.6745 0.8528
O7 0.1653 0.4838 0.7409
O8 0.1710 0.6897 0.2397
# Density of states at the Fermi level   0.00 states/eV/atom
# E   -7.39 eV/atom
# Total moment   11.00 μB/f.u.